Entry from Alexandria: a geometry-optimized Ca2GeSbAu6 structure (PBE).

Results
Its final energy is -3.65 eV/atom. The calculation puts the size of the total moment at 0.00 μB per formula unit. Its space group is Pmmn (59). The uncorrected formation energy comes out at -0.409 eV per atom.

Cell: 5.7004 8.7262 9.6741 Å, 90.00 90.00 90.00°
Closest atoms and distances in Å follow each position.
Fractional coordinates of all 20 atoms:
Ca 0.2500 0.0077 0.2471  6 Au 3.15-3.44
Ca 0.2500 0.4923 0.2471  6 Au 3.15-3.44
Ca 0.7500 0.5077 0.7529  6 Au 3.15-3.44
Ca 0.7500 0.9923 0.7529  6 Au 3.15-3.44
Ge 0.2500 0.7500 0.7542  6 Au 2.52-2.75
Ge 0.7500 0.2500 0.2458  6 Au 2.52-2.75
Sb 0.2500 0.2500 0.7919  4 Au 2.72-2.73
Sb 0.7500 0.7500 0.2081  4 Au 2.72-2.73
Au 0.0001 0.2500 0.0309  1 Ge 2.52, 1 Sb 2.72
Au 0.9999 0.7500 0.9691  1 Ge 2.52, 1 Sb 2.72
Au 0.0044 0.2500 0.4869  1 Ge 2.75, 6 Au 2.80-2.90
Au 0.2500 0.0055 0.6152  1 Ge 2.60, 1 Sb 2.73, 4 Au 2.84
Au 0.2500 0.4945 0.6152  1 Ge 2.60, 1 Sb 2.73, 4 Au 2.84
Au 0.4956 0.2500 0.4869  1 Ge 2.75, 6 Au 2.80-2.90
Au 0.4999 0.2500 0.0309  1 Ge 2.52, 1 Sb 2.72
Au 0.5001 0.7500 0.9691  1 Ge 2.52, 1 Sb 2.72
Au 0.5044 0.7500 0.5131  1 Ge 2.75, 6 Au 2.80-2.90
Au 0.7500 0.5055 0.3848  1 Ge 2.60, 1 Sb 2.73, 4 Au 2.84
Au 0.7500 0.9945 0.3848  1 Ge 2.60, 1 Sb 2.73, 4 Au 2.84
Au 0.9956 0.7500 0.5131  1 Ge 2.75, 6 Au 2.80-2.90

=====

Entry from Alexandria: a geometry-optimized Ca3Ge2SbAu6 structure (PBE).

Results
Its final energy is -3.70 eV/atom. The calculation puts the size of the total moment at 0.00 μB per formula unit. Its space group is P-3m1 (164). The uncorrected formation energy comes out at -0.444 eV per atom.

Cell: 5.8929 5.8929 9.9474 Å, 90.00 90.00 120.00°
Closest atoms and distances in Å follow each position.
Fractional coordinates of all 12 atoms:
Ca 0.0000 0.0000 0.0000  6 Au 3.17, 6 Ge 3.49
Ca 0.3333 0.6667 0.6069  6 Au 3.19, 3 Sb 3.56
Ca 0.6667 0.3333 0.3931  6 Au 3.19, 3 Sb 3.56
Ge 0.3333 0.6667 0.0789  3 Au 2.55
Ge 0.6667 0.3333 0.9211  3 Au 2.55
Sb 0.0000 0.0000 0.5000  6 Au 2.85
Au 0.1661 0.3322 0.2694  1 Ge 2.55, 1 Sb 2.85
Au 0.1661 0.8339 0.2694  1 Ge 2.55, 1 Sb 2.85
Au 0.3322 0.1661 0.7306  1 Ge 2.55, 1 Sb 2.85
Au 0.6678 0.8339 0.2694  1 Ge 2.55, 1 Sb 2.85
Au 0.8339 0.1661 0.7306  1 Ge 2.55, 1 Sb 2.85
Au 0.8339 0.6678 0.7306  1 Ge 2.55, 1 Sb 2.85

=====

Entry from Alexandria: a geometry-optimized Ca2ScGe4Au3 structure (PBE).

Results
Its final energy is -4.42 eV/atom. The calculation puts the size of the total moment at 0.00 μB per formula unit. Its space group is P-4m2 (115). The value obtained for the energy of formation is -0.559 eV/atom.

Cell: 4.2787 4.2787 11.7509 Å, 90.00 90.00 90.00°
Closest atoms and distances in Å follow each position.
Fractional coordinates of all 10 atoms:
Ca 0.0000 0.5000 0.2480  6 Au 3.28-3.65, 8 Ge 3.28-3.62, 2 Sc 3.65
Ca 0.5000 0.0000 0.7520  6 Au 3.28-3.65, 8 Ge 3.28-3.62, 2 Sc 3.65
Sc 0.0000 0.0000 0.5000  4 Ge 2.72, 4 Au 3.03
Ge 0.0000 0.0000 0.0000  4 Au 2.70, 4 Ge 3.03
Ge 0.0000 0.5000 0.6434  3 Au 2.54-2.72, 2 Sc 2.72
Ge 0.5000 0.0000 0.3566  3 Au 2.54-2.72, 2 Sc 2.72
Ge 0.5000 0.5000 0.0000  4 Au 2.70, 4 Ge 3.03
Au 0.0000 0.5000 0.8593  5 Ge 2.54-2.70
Au 0.5000 0.0000 0.1407  5 Ge 2.54-2.70
Au 0.5000 0.5000 0.5000  4 Ge 2.72, 4 Sc 3.03

=====

Entry from Alexandria: a geometry-optimized Ca2Si3GeAu4 structure (PBE).

Results
Its final energy is -4.24 eV/atom. The calculation puts the size of the total moment at 0.00 μB per formula unit. Its space group is P-4m2 (115). The uncorrected formation energy comes out at -0.442 eV per atom.

Cell: 4.3256 4.3256 10.6724 Å, 90.00 90.00 90.00°
Closest atoms and distances in Å follow each position.
Fractional coordinates of all 10 atoms:
Ca 0.0000 0.5000 0.2424  6 Si 3.28-3.50, 8 Au 3.30-3.37, 2 Ge 3.50
Ca 0.5000 0.0000 0.7576  6 Si 3.28-3.50, 8 Au 3.30-3.37, 2 Ge 3.50
Si 0.0000 0.5000 0.8682  5 Au 2.42-2.58
Si 0.5000 0.0000 0.1318  5 Au 2.42-2.58
Si 0.5000 0.5000 0.5000  4 Au 2.64
Ge 0.0000 0.0000 0.5000  4 Au 2.64
Au 0.0000 0.0000 0.0000  4 Si 2.58
Au 0.0000 0.5000 0.6412  3 Si 2.42-2.64, 2 Ge 2.64
Au 0.5000 0.0000 0.3588  3 Si 2.42-2.64, 2 Ge 2.64
Au 0.5000 0.5000 0.0000  4 Si 2.58